# 1
Y2CdHg5: relaxed, PBE.

Summary:
Energy: -2.242 eV/atom

CIF file:
```
data_Y2CdHg5
_symmetry_space_group_name_H-M 'C 1 m 1'
_symmetry_Int_Tables_number 8
_cell_length_a 8.7418
_cell_length_b 9.4556
_cell_length_c 6.4310
_cell_angle_alpha 90.00
_cell_angle_beta 132.67
_cell_angle_gamma 90.00
loop_
_symmetry_equiv_pos_as_xyz
'x,y,z'
'x,-y,z'
'x+1/2,y+1/2,z'
'x+1/2,-y+1/2,z'
loop_
_atom_site_label
_atom_site_type_symbol
_atom_site_fract_x
_atom_site_fract_y
_atom_site_fract_z
Y1 Y 0.0000 0.2500 0.0000
Cd1 Cd 0.2488 0.0000 0.4998
Hg1 Hg 0.0000 0.2506 0.5000
Hg2 Hg 0.2494 0.5000 0.9987
Hg3 Hg 0.2506 0.0000 0.0012
Hg4 Hg 0.2510 0.5000 0.5000
```


# 2
LaSm4Sn2: relaxed, PBE.

Summary:
Energy: -4.272 eV/atom

CIF file:
```
data_LaSm4Sn2
_symmetry_space_group_name_H-M 'I 4/m m m'
_symmetry_Int_Tables_number 139
_symmetry_space_group_name_Hall '-I 4 2'
_cell_length_a 5.4128
_cell_length_b 5.4128
_cell_length_c 16.3908
_cell_angle_alpha 90.00
_cell_angle_beta 90.00
_cell_angle_gamma 90.00
loop_
_atom_site_label
_atom_site_type_symbol
_atom_site_fract_x
_atom_site_fract_y
_atom_site_fract_z
La1 La 0.0000 0.0000 0.0000
Sm1 Sm 0.0000 0.0000 0.1832
Sm2 Sm 0.0000 0.5000 0.0000
Sn1 Sn 0.0000 0.0000 0.3701
```


# 3
LiPrScS3: relaxed, PBE.

Summary:
Energy: -6.012 eV/atom
E_form (uncorrected): -171.5 kJ per mole of atoms

CIF file:
```
data_LiPrScS3
_symmetry_space_group_name_H-M 'P 1 21/m 1'
_symmetry_Int_Tables_number 11
_cell_length_a 7.8678
_cell_length_b 3.8053
_cell_length_c 8.3941
_cell_angle_alpha 90.00
_cell_angle_beta 104.69
_cell_angle_gamma 90.00
loop_
_symmetry_equiv_pos_as_xyz
'x,y,z'
'-x,-y,-z'
'-x,y+1/2,-z'
'x,-y+1/2,z'
loop_
_atom_site_label
_atom_site_type_symbol
_atom_site_fract_x
_atom_site_fract_y
_atom_site_fract_z
Li1 Li 0.0913 0.2500 0.0901
Pr1 Pr 0.1994 0.2500 0.7321
Sc1 Sc 0.3353 0.7500 0.3436
S1 S 0.1047 0.2500 0.3701
S2 S 0.2256 0.7500 0.0120
S3 S 0.4451 0.7500 0.6661
```


# 4
HoZnPd: relaxed, PBE.

Summary:
Energy: -4.435 eV/atom

CIF file:
```
data_HoZnPd
_symmetry_space_group_name_H-M 'P -6 2 m'
_symmetry_Int_Tables_number 189
_symmetry_space_group_name_Hall 'P -6 -2'
_cell_length_a 7.2823
_cell_length_b 7.2823
_cell_length_c 3.8454
_cell_angle_alpha 90.00
_cell_angle_beta 90.00
_cell_angle_gamma 120.00
loop_
_atom_site_label
_atom_site_type_symbol
_atom_site_fract_x
_atom_site_fract_y
_atom_site_fract_z
Ho1 Ho 0.0000 0.5958 0.0000
Zn1 Zn 0.0000 0.2524 0.5000
Pd1 Pd 0.0000 0.0000 0.0000
Pd2 Pd 0.3333 0.6667 0.5000
```


# 5
BeTl2Te: relaxed, PBE.

Summary:
Energy: -2.392 eV/atom
E_form (uncorrected): 49.0 kJ per mole of atoms

CIF file:
```
data_BeTl2Te
_symmetry_space_group_name_H-M 'F m -3 m'
_symmetry_Int_Tables_number 225
_symmetry_space_group_name_Hall '-F 4 2 3'
_cell_length_a 7.7928
_cell_length_b 7.7928
_cell_length_c 7.7928
_cell_angle_alpha 90.00
_cell_angle_beta 90.00
_cell_angle_gamma 90.00
loop_
_atom_site_label
_atom_site_type_symbol
_atom_site_fract_x
_atom_site_fract_y
_atom_site_fract_z
Be1 Be 0.0000 0.0000 0.0000
Tl1 Tl 0.2500 0.2500 0.2500
Te1 Te 0.0000 0.0000 0.5000
```


# 6
K2LiGa3Sn4: relaxed, PBE.

Summary:
Energy: -3.103 eV/atom

CIF file:
```
data_K2LiGa3Sn4
_symmetry_space_group_name_H-M 'P -4 m 2'
_symmetry_Int_Tables_number 115
_cell_length_a 4.8120
_cell_length_b 4.8120
_cell_length_c 11.7693
_cell_angle_alpha 90.00
_cell_angle_beta 90.00
_cell_angle_gamma 90.00
loop_
_symmetry_equiv_pos_as_xyz
'x,y,z'
'y,-x,-z'
'-x,-y,z'
'-y,x,-z'
'-x,y,z'
'-y,-x,-z'
'x,-y,z'
'y,x,-z'
loop_
_atom_site_label
_atom_site_type_symbol
_atom_site_fract_x
_atom_site_fract_y
_atom_site_fract_z
K1 K 0.0000 0.5000 0.2442
Li1 Li 0.5000 0.5000 0.0000
Ga1 Ga 0.0000 0.0000 0.0000
Ga2 Ga 0.0000 0.5000 0.6388
Sn1 Sn 0.0000 0.0000 0.5000
Sn2 Sn 0.0000 0.5000 0.8712
Sn3 Sn 0.5000 0.5000 0.5000
```


# 7
AcZn2Ga4: relaxed, PBE.

Summary:
Energy: -2.977 eV/atom

CIF file:
```
data_AcZn2Ga4
_symmetry_space_group_name_H-M 'C m m m'
_symmetry_Int_Tables_number 65
_symmetry_space_group_name_Hall '-C 2 2'
_cell_length_a 4.8798
_cell_length_b 12.9523
_cell_length_c 4.5449
_cell_angle_alpha 90.00
_cell_angle_beta 90.00
_cell_angle_gamma 90.00
loop_
_atom_site_label
_atom_site_type_symbol
_atom_site_fract_x
_atom_site_fract_y
_atom_site_fract_z
Ac1 Ac 0.0000 0.0000 0.0000
Zn1 Zn 0.0000 0.4048 0.5000
Ga1 Ga 0.0000 0.1850 0.5000
Ga2 Ga 0.0000 0.3013 0.0000
```


# 8
Tb8SmTl2: relaxed, PBE.

Summary:
Energy: -4.235 eV/atom

CIF file:
```
data_Tb8SmTl2
_symmetry_space_group_name_H-M 'C 1 2/m 1'
_symmetry_Int_Tables_number 12
_cell_length_a 8.8694
_cell_length_b 15.2211
_cell_length_c 5.6815
_cell_angle_alpha 90.00
_cell_angle_beta 114.39
_cell_angle_gamma 90.00
loop_
_symmetry_equiv_pos_as_xyz
'x,y,z'
'-x,-y,-z'
'-x,y,-z'
'x,-y,z'
'x+1/2,y+1/2,z'
'-x+1/2,-y+1/2,-z'
'-x+1/2,y+1/2,-z'
'x+1/2,-y+1/2,z'
loop_
_atom_site_label
_atom_site_type_symbol
_atom_site_fract_x
_atom_site_fract_y
_atom_site_fract_z
Tb1 Tb 0.0000 0.2189 0.0000
Tb2 Tb 0.0949 0.5000 0.7958
Tb3 Tb 0.2081 0.1138 0.6197
Sm1 Sm 0.0000 0.0000 0.0000
Tl1 Tl 0.0000 0.3062 0.5000
```


# 9
GdHfIn2: relaxed, PBE.

Summary:
Energy: -7.675 eV/atom

CIF file:
```
data_GdHfIn2
_symmetry_space_group_name_H-M 'P 4/m m m'
_symmetry_Int_Tables_number 123
_symmetry_space_group_name_Hall '-P 4 2'
_cell_length_a 3.2561
_cell_length_b 3.2561
_cell_length_c 9.0687
_cell_angle_alpha 90.00
_cell_angle_beta 90.00
_cell_angle_gamma 90.00
loop_
_atom_site_label
_atom_site_type_symbol
_atom_site_fract_x
_atom_site_fract_y
_atom_site_fract_z
Gd1 Gd 0.0000 0.0000 0.0000
Hf1 Hf 0.0000 0.0000 0.5000
In1 In 0.5000 0.5000 0.2647
```


# 10
Sr2Hg2Pd: relaxed, PBE.

Summary:
Energy: -2.396 eV/atom

CIF file:
```
data_Sr2Hg2Pd
_symmetry_space_group_name_H-M 'C 1 2/m 1'
_symmetry_Int_Tables_number 12
_cell_length_a 11.6714
_cell_length_b 4.4460
_cell_length_c 12.2093
_cell_angle_alpha 90.00
_cell_angle_beta 113.30
_cell_angle_gamma 90.00
loop_
_symmetry_equiv_pos_as_xyz
'x,y,z'
'-x,-y,-z'
'-x,y,-z'
'x,-y,z'
'x+1/2,y+1/2,z'
'-x+1/2,-y+1/2,-z'
'-x+1/2,y+1/2,-z'
'x+1/2,-y+1/2,z'
loop_
_atom_site_label
_atom_site_type_symbol
_atom_site_fract_x
_atom_site_fract_y
_atom_site_fract_z
Sr1 Sr 0.0041 0.0000 0.3396
Sr2 Sr 0.1896 0.0000 0.1237
Hg1 Hg 0.0309 0.5000 0.8854
Hg2 Hg 0.1613 0.5000 0.5557
Pd1 Pd 0.1984 0.5000 0.3192
```


# 11
BeAg2As: relaxed, PBE.

Summary:
Energy: -3.151 eV/atom

CIF file:
```
data_BeAg2As
_symmetry_space_group_name_H-M 'C m m m'
_symmetry_Int_Tables_number 65
_symmetry_space_group_name_Hall '-C 2 2'
_cell_length_a 5.4819
_cell_length_b 8.2192
_cell_length_c 2.9213
_cell_angle_alpha 90.00
_cell_angle_beta 90.00
_cell_angle_gamma 90.00
loop_
_atom_site_label
_atom_site_type_symbol
_atom_site_fract_x
_atom_site_fract_y
_atom_site_fract_z
Be1 Be 0.0000 0.0000 0.0000
Ag1 Ag 0.2500 0.2500 0.5000
As1 As 0.0000 0.5000 0.0000
```


# 12
GeTeAu: relaxed, PBE.

Summary:
Energy: -3.744 eV/atom
E_form (uncorrected): -6.2 kJ per mole of atoms

CIF file:
```
data_GeTeAu
_symmetry_space_group_name_H-M 'P 1 21 1'
_symmetry_Int_Tables_number 4
_cell_length_a 4.2540
_cell_length_b 4.4208
_cell_length_c 8.6737
_cell_angle_alpha 90.00
_cell_angle_beta 90.42
_cell_angle_gamma 90.00
loop_
_symmetry_equiv_pos_as_xyz
'x,y,z'
'-x,y+1/2,-z'
loop_
_atom_site_label
_atom_site_type_symbol
_atom_site_fract_x
_atom_site_fract_y
_atom_site_fract_z
Ge1 Ge 0.2473 0.0000 0.3925
Te1 Te 0.2444 0.5752 0.1649
Au1 Au 0.2537 0.7974 0.6855
```